# Mn6Re7 (PBE, relaxed)
# DOS(E_F) in states/eV/f.u.: 11.22
# Crystal system: trigonal
# Energy of formation from the pure elements in eV/atom: 0.3089
data_Mn6Re7
_cell_length_a 5.0783
_cell_length_b 5.0783
_cell_length_c 26.3290
_cell_angle_alpha 90.00
_cell_angle_beta 90.00
_cell_angle_gamma 120.00
_symmetry_space_group_name_H-M 'R -3 m'
_symmetry_Int_Tables_number 166
_symmetry_space_group_name_Hall '-R 3 2"'
loop_
_atom_site_label
_atom_site_type_symbol
_atom_site_fract_x
_atom_site_fract_y
_atom_site_fract_z
_atom_site_occupancy
Mn1 Mn 0.0000 0.0000 0.0418 1
Mn2 Mn 0.0000 0.0000 0.1503 1
Mn3 Mn 0.0000 0.0000 0.3349 1
Re1 Re 0.0000 0.0000 0.5000 1
Re2 Re 0.0039 0.5020 0.9150 1


# Mn4Re3 (PBE, relaxed)
# DOS(E_F) in states/eV/f.u.: 8.09
# Crystal system: hexagonal
# Energy of formation from the pure elements in eV/atom: 0.2695
# Energy relative to the lowest polymorph listed for this composition in eV per atom: 0.185
data_Mn4Re3
_cell_length_a 5.0345
_cell_length_b 5.0345
_cell_length_c 4.5957
_cell_angle_alpha 90.00
_cell_angle_beta 90.00
_cell_angle_gamma 120.00
_symmetry_space_group_name_H-M 'P 6/m m m'
_symmetry_Int_Tables_number 191
_symmetry_space_group_name_Hall '-P 6 2'
loop_
_atom_site_label
_atom_site_type_symbol
_atom_site_fract_x
_atom_site_fract_y
_atom_site_fract_z
_atom_site_occupancy
Mn1 Mn 0.0000 0.0000 0.2347 1
Mn2 Mn 0.3333 0.6667 0.0000 1
Re1 Re 0.0000 0.5000 0.5000 1


# Mn2Re (PBE, relaxed)
# DOS(E_F) in states/eV/f.u.: 3.94
# Crystal system: tetragonal
# Energy of formation from the pure elements in eV/atom: 0.4798
data_Mn2Re
_cell_length_a 5.7494
_cell_length_b 5.7494
_cell_length_c 4.8877
_cell_angle_alpha 90.00
_cell_angle_beta 90.00
_cell_angle_gamma 90.00
_symmetry_space_group_name_H-M 'I 4/m c m'
_symmetry_Int_Tables_number 140
_symmetry_space_group_name_Hall '-I 4 2c'
loop_
_atom_site_label
_atom_site_type_symbol
_atom_site_fract_x
_atom_site_fract_y
_atom_site_fract_z
_atom_site_occupancy
Mn1 Mn 0.1343 0.3657 0.0000 1
Re1 Re 0.0000 0.0000 0.2500 1


# MnRe5 (PBE, relaxed)
# DOS(E_F) in states/eV/f.u.: 5.87
# Crystal system: orthorhombic
# Energy of formation from the pure elements in eV/atom: 0.0824
# Energy relative to the lowest polymorph listed for this composition in eV per atom: 0.040
data_MnRe5
_cell_length_a 3.8765
_cell_length_b 11.6189
_cell_length_c 3.8678
_cell_angle_alpha 90.00
_cell_angle_beta 90.00
_cell_angle_gamma 90.00
_symmetry_space_group_name_H-M 'C m m m'
_symmetry_Int_Tables_number 65
_symmetry_space_group_name_Hall '-C 2 2'
loop_
_atom_site_label
_atom_site_type_symbol
_atom_site_fract_x
_atom_site_fract_y
_atom_site_fract_z
_atom_site_occupancy
Mn1 Mn 0.0000 0.0000 0.0000 1
Re1 Re 0.0000 0.1628 0.5000 1
Re2 Re 0.0000 0.3354 0.0000 1
Re3 Re 0.0000 0.5000 0.5000 1


# Mn3Re5 (PBE, relaxed)
# DOS(E_F) in states/eV/f.u.: 7.11
# Crystal system: hexagonal
# Energy of formation from the pure elements in eV/atom: 0.1769
# Energy relative to the lowest polymorph listed for this composition in eV per atom: 0.103
data_Mn3Re5
_cell_length_a 7.2404
_cell_length_b 7.2404
_cell_length_c 4.8943
_cell_angle_alpha 90.00
_cell_angle_beta 90.00
_cell_angle_gamma 120.00
_symmetry_space_group_name_H-M 'P 63/m c m'
_symmetry_Int_Tables_number 193
_symmetry_space_group_name_Hall '-P 6c 2'
loop_
_atom_site_label
_atom_site_type_symbol
_atom_site_fract_x
_atom_site_fract_y
_atom_site_fract_z
_atom_site_occupancy
Mn1 Mn 0.0000 0.4089 0.2500 1
Re1 Re 0.0000 0.2265 0.7500 1
Re2 Re 0.3333 0.6667 0.0000 1


# Mn3Re (PBE, relaxed)
# DOS(E_F) in states/eV/f.u.: 5.21
# Crystal system: cubic
# Energy of formation from the pure elements in eV/atom: 0.0727
data_Mn3Re
_cell_length_a 4.6252
_cell_length_b 4.6252
_cell_length_c 4.6252
_cell_angle_alpha 90.00
_cell_angle_beta 90.00
_cell_angle_gamma 90.00
_symmetry_space_group_name_H-M 'P m -3 n'
_symmetry_Int_Tables_number 223
_symmetry_space_group_name_Hall '-P 4n 2 3'
loop_
_atom_site_label
_atom_site_type_symbol
_atom_site_fract_x
_atom_site_fract_y
_atom_site_fract_z
_atom_site_occupancy
Mn1 Mn 0.0000 0.2500 0.5000 1
Re1 Re 0.0000 0.0000 0.0000 1


# Mn3Re (PBE, relaxed)
# DOS(E_F) in states/eV/f.u.: 5.46
# Crystal system: cubic
# Energy of formation from the pure elements in eV/atom: 0.0887
data_Mn3Re
_cell_length_a 3.6347
_cell_length_b 3.6347
_cell_length_c 3.6347
_cell_angle_alpha 90.00
_cell_angle_beta 90.00
_cell_angle_gamma 90.00
_symmetry_space_group_name_H-M 'P m -3 m'
_symmetry_Int_Tables_number 221
_symmetry_space_group_name_Hall '-P 4 2 3'
loop_
_atom_site_label
_atom_site_type_symbol
_atom_site_fract_x
_atom_site_fract_y
_atom_site_fract_z
_atom_site_occupancy
Mn1 Mn 0.0000 0.0000 0.5000 1
Re1 Re 0.5000 0.5000 0.5000 1


# Mn2Re (PBE, relaxed)
# DOS(E_F) in states/eV/f.u.: 3.29
# Crystal system: tetragonal
# Energy of formation from the pure elements in eV/atom: 0.7545
data_Mn2Re
_cell_length_a 4.3271
_cell_length_b 4.3271
_cell_length_c 2.7381
_cell_angle_alpha 90.00
_cell_angle_beta 90.00
_cell_angle_gamma 90.00
_symmetry_space_group_name_H-M 'P 4/m m m'
_symmetry_Int_Tables_number 123
_symmetry_space_group_name_Hall '-P 4 2'
loop_
_atom_site_label
_atom_site_type_symbol
_atom_site_fract_x
_atom_site_fract_y
_atom_site_fract_z
_atom_site_occupancy
Mn1 Mn 0.0000 0.5000 0.0000 1
Re1 Re 0.0000 0.0000 0.5000 1